Model one:
This record from the Alexandria database describes a relaxed structure of HfNpS2. The functional is GGA-PBE.

```
data_HfNpS2
_space_group_name_H-M_alt 'R -3 m'
_space_group_IT_number 166
_space_group_name_Hall '-R 3 2"'
_cell_length_a 3.4886
_cell_length_b 3.4886
_cell_length_c 26.0718
_cell_angle_alpha 90.00
_cell_angle_beta 90.00
_cell_angle_gamma 120.00
loop_
_atom_site_label
_atom_site_fract_x
_atom_site_fract_y
_atom_site_fract_z
Hf1 0.0000 0.0000 0.0000
Np1 0.0000 0.0000 0.5000
S1 0.0000 0.0000 0.3931
```

=====

Model two:
This record from the Alexandria database describes a relaxed structure of HfNpS2. The functional is GGA-PBE.

```
data_HfNpS2
_space_group_name_H-M_alt 'R 3 m'
_space_group_IT_number 160
_space_group_name_Hall 'R 3 -2"'
_cell_length_a 3.6667
_cell_length_b 3.6667
_cell_length_c 19.8393
_cell_angle_alpha 90.00
_cell_angle_beta 90.00
_cell_angle_gamma 120.00
loop_
_atom_site_label
_atom_site_fract_x
_atom_site_fract_y
_atom_site_fract_z
Hf1 0.0000 0.0000 0.0000
Np1 0.0000 0.0000 0.1782
S1 0.0000 0.0000 0.4134
S2 0.0000 0.0000 0.5957
```

=====

Stability, lowest: model one

=====

Model one:
This record from the Alexandria database describes a relaxed structure of HfNpSn2. The functional is GGA-PBE.

```
data_HfNpSn2
_space_group_name_H-M_alt 'P 4/m m m'
_space_group_IT_number 123
_space_group_name_Hall '-P 4 2'
_cell_length_a 3.806
_cell_length_b 3.806
_cell_length_c 6.641
_cell_angle_alpha 90.00
_cell_angle_beta 90.00
_cell_angle_gamma 90.00
loop_
_atom_site_label
_atom_site_fract_x
_atom_site_fract_y
_atom_site_fract_z
Hf1 0.000 0.000 0.000
Np1 0.000 0.000 0.500
Sn1 0.500 0.500 0.225
```

=====

Model two:
This record from the Alexandria database describes a relaxed structure of HfNpSn2. The functional is GGA-PBE.

```
data_HfNpSn2
_space_group_name_H-M_alt 'R -3 m'
_space_group_IT_number 166
_space_group_name_Hall '-R 3 2"'
_cell_length_a 3.1750
_cell_length_b 3.1750
_cell_length_c 34.3488
_cell_angle_alpha 90.00
_cell_angle_beta 90.00
_cell_angle_gamma 120.00
loop_
_atom_site_label
_atom_site_fract_x
_atom_site_fract_y
_atom_site_fract_z
Hf1 0.0000 0.0000 0.0000
Np1 0.0000 0.0000 0.5000
Sn1 0.0000 0.0000 0.4068
```

=====

Model three:
This record from the Alexandria database describes a relaxed structure of HfNpSn2. The functional is GGA-PBE.

```
data_HfNpSn2
_space_group_name_H-M_alt 'P 4/m m m'
_space_group_IT_number 123
_space_group_name_Hall '-P 4 2'
_cell_length_a 4.644
_cell_length_b 4.644
_cell_length_c 4.411
_cell_angle_alpha 90.00
_cell_angle_beta 90.00
_cell_angle_gamma 90.00
loop_
_atom_site_label
_atom_site_fract_x
_atom_site_fract_y
_atom_site_fract_z
Hf1 0.000 0.000 0.000
Np1 0.500 0.500 0.000
Sn1 0.000 0.500 0.500
```

=====

Stability, lowest: model two